(1)
First-principles (PBE) data for an optimized crystal structure of RbBaLiRe2, as listed in the Alexandria database. Values from VASP.

Structure (Quantum ESPRESSO input):
```
&SYSTEM
  ibrav = 0, nat = 5, ntyp = 4
/
ATOMIC_SPECIES
Rb 85.47 Rb.upf
Ba 137.33 Ba.upf
Li 6.94 Li.upf
Re 186.21 Re.upf
ATOMIC_POSITIONS crystal
Rb 0.000 0.000 0.000
Ba 0.000 0.000 0.500
Li 0.500 0.500 0.500
Re 0.000 0.500 0.000
Re 0.500 0.000 0.000
CELL_PARAMETERS angstrom
5.003 0.000 0.000
0.000 5.003 0.000
0.000 0.000 5.830
```

Computed properties:
Mass density, Mg/m³: 6.853

***

(2)
First-principles (PBE) data for an optimized crystal structure of RbBa2LiRh, as listed in the Alexandria database. Values from VASP.

Structure (Quantum ESPRESSO input):
```
&SYSTEM
  ibrav = 0, nat = 5, ntyp = 4
/
ATOMIC_SPECIES
Rb 85.47 Rb.upf
Ba 137.33 Ba.upf
Li 6.94 Li.upf
Rh 102.91 Rh.upf
ATOMIC_POSITIONS crystal
Rb 0.000 0.000 0.000
Ba 0.000 0.500 0.500
Ba 0.500 0.000 0.500
Li 0.500 0.500 0.000
Rh 0.500 0.500 0.500
CELL_PARAMETERS angstrom
6.094 0.000 0.000
0.000 6.094 0.000
0.000 0.000 5.731
```

Computed properties:
Mass density, Mg/m³: 3.667

***

(3)
First-principles (PBE) data for an optimized crystal structure of RbBa2Li2Sb2, as listed in the Alexandria database. Values from VASP.

Structure (Quantum ESPRESSO input):
```
&SYSTEM
  ibrav = 0, nat = 7, ntyp = 4
/
ATOMIC_SPECIES
Rb 85.47 Rb.upf
Ba 137.33 Ba.upf
Li 6.94 Li.upf
Sb 121.76 Sb.upf
ATOMIC_POSITIONS crystal
Rb 0.000 0.000 0.000
Ba 0.115 0.115 0.115
Ba 0.885 0.885 0.885
Li 0.393 0.393 0.393
Li 0.607 0.607 0.607
Sb 0.266 0.266 0.266
Sb 0.734 0.734 0.734
CELL_PARAMETERS angstrom
2.477 1.430 13.572
-2.477 1.430 13.572
0.000 -2.860 13.572
```

Computed properties:
Mass density, Mg/m³: 3.554

***

(4)
First-principles (PBE) data for an optimized crystal structure of RbBaLi2Sb, as listed in the Alexandria database. Values from VASP.

Structure (Quantum ESPRESSO input):
```
&SYSTEM
  ibrav = 0, nat = 5, ntyp = 4
/
ATOMIC_SPECIES
Rb 85.47 Rb.upf
Ba 137.33 Ba.upf
Li 6.94 Li.upf
Sb 121.76 Sb.upf
ATOMIC_POSITIONS crystal
Rb 0.000 0.000 0.000
Ba 0.500 0.500 0.500
Li 0.000 0.500 0.500
Li 0.500 0.000 0.500
Sb 0.500 0.500 0.000
CELL_PARAMETERS angstrom
6.489 0.000 0.000
0.000 6.489 0.000
0.000 0.000 6.374
```

Computed properties:
Mass density, Mg/m³: 2.217

***

(5)
First-principles (PBE) data for an optimized crystal structure of RbBa2SrLi, as listed in the Alexandria database. Values from VASP.

Structure (Quantum ESPRESSO input):
```
&SYSTEM
  ibrav = 0, nat = 5, ntyp = 4
/
ATOMIC_SPECIES
Rb 85.47 Rb.upf
Ba 137.33 Ba.upf
Sr 87.62 Sr.upf
Li 6.94 Li.upf
ATOMIC_POSITIONS crystal
Rb 0.000 0.000 0.000
Ba 0.000 0.500 0.500
Ba 0.500 0.000 0.500
Sr 0.500 0.500 0.000
Li 0.500 0.500 0.500
CELL_PARAMETERS angstrom
6.859 0.000 0.000
0.000 6.859 0.000
0.000 0.000 6.740
```

Computed properties:
Mass density, Mg/m³: 2.381

***

(6)
First-principles (PBE) data for an optimized crystal structure of RbBaSrLi, as listed in the Alexandria database. Values from VASP.

Structure (Quantum ESPRESSO input):
```
&SYSTEM
  ibrav = 0, nat = 16, ntyp = 4
/
ATOMIC_SPECIES
Rb 85.47 Rb.upf
Ba 137.33 Ba.upf
Sr 87.62 Sr.upf
Li 6.94 Li.upf
ATOMIC_POSITIONS crystal
Rb 0.000 0.000 0.000
Rb 0.000 0.500 0.500
Rb 0.500 0.000 0.500
Rb 0.500 0.500 0.000
Ba 0.250 0.250 0.250
Ba 0.250 0.750 0.750
Ba 0.750 0.250 0.750
Ba 0.750 0.750 0.250
Sr 0.250 0.250 0.750
Sr 0.250 0.750 0.250
Sr 0.750 0.250 0.250
Sr 0.750 0.750 0.750
Li 0.000 0.000 0.500
Li 0.000 0.500 0.000
Li 0.500 0.000 0.000
Li 0.500 0.500 0.500
CELL_PARAMETERS angstrom
9.542 0.000 0.000
0.000 9.542 0.000
0.000 0.000 9.542
```

Computed properties:
Mass density, Mg/m³: 2.426

***

(7)
First-principles (PBE) data for an optimized crystal structure of RbBaLi2Tc, as listed in the Alexandria database. Values from VASP.

Structure (Quantum ESPRESSO input):
```
&SYSTEM
  ibrav = 0, nat = 5, ntyp = 4
/
ATOMIC_SPECIES
Rb 85.47 Rb.upf
Ba 137.33 Ba.upf
Li 6.94 Li.upf
Tc 98.00 Tc.upf
ATOMIC_POSITIONS crystal
Rb 0.000 0.000 0.000
Ba 0.500 0.500 0.500
Li 0.000 0.500 0.500
Li 0.500 0.000 0.500
Tc 0.500 0.500 0.000
CELL_PARAMETERS angstrom
6.247 0.000 0.000
0.000 6.247 0.000
0.000 0.000 5.202
```

Computed properties:
Mass density, Mg/m³: 2.738

***

(8)
First-principles (PBE) data for an optimized crystal structure of RbBaLiTl, as listed in the Alexandria database. Values from VASP.

Structure (Quantum ESPRESSO input):
```
&SYSTEM
  ibrav = 0, nat = 16, ntyp = 4
/
ATOMIC_SPECIES
Rb 85.47 Rb.upf
Ba 137.33 Ba.upf
Li 6.94 Li.upf
Tl 204.38 Tl.upf
ATOMIC_POSITIONS crystal
Rb 0.000 0.000 0.000
Rb 0.000 0.500 0.500
Rb 0.500 0.000 0.500
Rb 0.500 0.500 0.000
Ba 0.250 0.250 0.750
Ba 0.250 0.750 0.250
Ba 0.750 0.250 0.250
Ba 0.750 0.750 0.750
Li 0.250 0.250 0.250
Li 0.250 0.750 0.750
Li 0.750 0.250 0.750
Li 0.750 0.750 0.250
Tl 0.000 0.000 0.500
Tl 0.000 0.500 0.000
Tl 0.500 0.000 0.000
Tl 0.500 0.500 0.500
CELL_PARAMETERS angstrom
8.407 0.000 0.000
0.000 8.407 0.000
0.000 0.000 8.407
```

Computed properties:
Mass density, Mg/m³: 4.853

***

(9)
First-principles (PBE) data for an optimized crystal structure of RbBa2LiTl, as listed in the Alexandria database. Values from VASP.

Structure (Quantum ESPRESSO input):
```
&SYSTEM
  ibrav = 0, nat = 5, ntyp = 4
/
ATOMIC_SPECIES
Rb 85.47 Rb.upf
Ba 137.33 Ba.upf
Li 6.94 Li.upf
Tl 204.38 Tl.upf
ATOMIC_POSITIONS crystal
Rb 0.000 0.000 0.000
Ba 0.000 0.500 0.500
Ba 0.500 0.000 0.500
Li 0.500 0.500 0.000
Tl 0.500 0.500 0.500
CELL_PARAMETERS angstrom
6.901 0.000 0.000
0.000 6.901 0.000
0.000 0.000 5.686
```

Computed properties:
Mass density, Mg/m³: 3.504

***

(10)
First-principles (PBE) data for an optimized crystal structure of Rb2BaLiW, as listed in the Alexandria database. Values from VASP.

Structure (Quantum ESPRESSO input):
```
&SYSTEM
  ibrav = 0, nat = 5, ntyp = 4
/
ATOMIC_SPECIES
Rb 85.47 Rb.upf
Ba 137.33 Ba.upf
Li 6.94 Li.upf
W 183.84 W.upf
ATOMIC_POSITIONS crystal
Rb 0.000 0.500 0.000
Rb 0.500 0.000 0.000
Ba 0.000 0.000 0.500
Li 0.000 0.000 0.000
W 0.500 0.500 0.500
CELL_PARAMETERS angstrom
6.214 0.000 0.000
0.000 6.214 0.000
0.000 0.000 6.864
```

Computed properties:
Mass density, Mg/m³: 3.126

***

(11)
First-principles (PBE) data for an optimized crystal structure of RbBa2LiZn, as listed in the Alexandria database. Values from VASP.

Structure (Quantum ESPRESSO input):
```
&SYSTEM
  ibrav = 0, nat = 5, ntyp = 4
/
ATOMIC_SPECIES
Rb 85.47 Rb.upf
Ba 137.33 Ba.upf
Li 6.94 Li.upf
Zn 65.41 Zn.upf
ATOMIC_POSITIONS crystal
Rb 0.000 0.000 0.000
Ba 0.000 0.500 0.500
Ba 0.500 0.000 0.500
Li 0.500 0.500 0.000
Zn 0.500 0.500 0.500
CELL_PARAMETERS angstrom
6.686 0.000 0.000
0.000 6.686 0.000
0.000 0.000 5.611
```

Computed properties:
Mass density, Mg/m³: 2.863

***

(12)
First-principles (PBE) data for an optimized crystal structure of BaLi2Re, as listed in the Alexandria database. Values from VASP.

Structure (Quantum ESPRESSO input):
```
&SYSTEM
  ibrav = 0, nat = 4, ntyp = 3
/
ATOMIC_SPECIES
Ba 137.33 Ba.upf
Li 6.94 Li.upf
Re 186.21 Re.upf
ATOMIC_POSITIONS crystal
Ba 0.000 0.000 0.000
Li 0.500 0.500 0.309
Li 0.500 0.500 0.691
Re 0.000 0.000 0.500
CELL_PARAMETERS angstrom
2.908 0.000 0.000
0.000 2.908 0.000
0.000 0.000 9.981
```

Computed properties:
Mass density, Mg/m³: 6.637

***

(13)
First-principles (PBE) data for an optimized crystal structure of BaLi2Re2, as listed in the Alexandria database. Values from VASP.

Structure (Quantum ESPRESSO input):
```
&SYSTEM
  ibrav = 0, nat = 10, ntyp = 3
/
ATOMIC_SPECIES
Ba 137.33 Ba.upf
Li 6.94 Li.upf
Re 186.21 Re.upf
ATOMIC_POSITIONS crystal
Ba 0.000 0.000 0.000
Ba 0.500 0.500 0.500
Li 0.000 0.500 0.250
Li 0.000 0.500 0.750
Li 0.500 0.000 0.250
Li 0.500 0.000 0.750
Re 0.000 0.000 0.378
Re 0.000 0.000 0.622
Re 0.500 0.500 0.122
Re 0.500 0.500 0.878
CELL_PARAMETERS angstrom
4.994 0.000 0.000
0.000 4.994 0.000
0.000 0.000 9.009
```

Computed properties:
Mass density, Mg/m³: 7.739

***

(14)
First-principles (PBE) data for an optimized crystal structure of Ba2LiRe, as listed in the Alexandria database. Values from VASP.

Structure (Quantum ESPRESSO input):
```
&SYSTEM
  ibrav = 0, nat = 4, ntyp = 3
/
ATOMIC_SPECIES
Ba 137.33 Ba.upf
Li 6.94 Li.upf
Re 186.21 Re.upf
ATOMIC_POSITIONS crystal
Ba 0.000 0.000 0.000
Ba 0.500 0.500 0.429
Li 0.000 0.000 0.667
Re 0.500 0.500 0.760
CELL_PARAMETERS angstrom
3.364 0.000 0.000
0.000 3.960 0.000
0.000 0.000 9.018
```

Computed properties:
Mass density, Mg/m³: 6.467

***

(15)
First-principles (PBE) data for an optimized crystal structure of Ba2LiRe, as listed in the Alexandria database. Values from VASP.

Structure (Quantum ESPRESSO input):
```
&SYSTEM
  ibrav = 0, nat = 8, ntyp = 3
/
ATOMIC_SPECIES
Ba 137.33 Ba.upf
Li 6.94 Li.upf
Re 186.21 Re.upf
ATOMIC_POSITIONS crystal
Ba 0.000 0.000 0.000
Ba 0.000 0.500 0.201
Ba 0.500 0.000 0.701
Ba 0.500 0.500 0.500
Li 0.000 0.500 0.833
Li 0.500 0.000 0.333
Re 0.000 0.000 0.495
Re 0.500 0.500 0.995
CELL_PARAMETERS angstrom
3.585 0.000 0.000
0.000 5.654 0.000
0.000 0.000 12.929
```

Computed properties:
Mass density, Mg/m³: 5.928

***

E? In order: -3.08; -2.76; -3.07; -1.86; -1.52; -1.43; -2.19; -1.80; -1.82; -2.24; -1.51; -3.69; -5.14; -3.68; -3.67 eV per atom.